Arrangement one

A plane-wave DFT calculation with PBE-GGA was carried out for a relaxed structure of Li2BeZn.

Cell: 4.4238 4.4238 4.9308 Å, 95.45 95.45 33.04°
Fractional positions:
Li (0.0000, 0.0000, 0.0000)
Li (0.2361, 0.2361, 0.7427)
Be (0.7478, 0.7478, 0.2637)
Zn (0.4846, 0.4846, 0.4713)

Calculated values
Size of the total moment ... 0.00 Bohr magnetons per cell
Symmetry ... Cm

=====

Arrangement two

A plane-wave DFT calculation with PBE-GGA was carried out for a relaxed structure of Li2BeZn.

Cell: 2.9114 4.0084 4.3647 Å, 90.00 90.00 90.00°
Fractional positions:
Li (0.0000, 0.0000, 0.0000)
Li (0.5000, 0.5000, 0.0000)
Be (0.0000, 0.5000, 0.5000)
Zn (0.5000, 0.0000, 0.5000)

Calculated values
Size of the total moment ... 0.00 Bohr magnetons per cell
Symmetry ... Pmmm

=====

The structure with the greatest stability is arrangement one.

=====

Arrangement one

A plane-wave DFT calculation with PBE-GGA was carried out for a relaxed structure of Li2BeZn2.

Cell: 6.0924 6.0924 4.0748 Å, 90.00 90.00 90.00°
Fractional positions:
Li (0.1681, 0.3319, 0.0000)
Li (0.3319, 0.8319, 0.0000)
Li (0.6681, 0.1681, 0.0000)
Li (0.8319, 0.6681, 0.0000)
Be (0.0000, 0.0000, 0.5000)
Be (0.5000, 0.5000, 0.5000)
Zn (0.1492, 0.6492, 0.5000)
Zn (0.3508, 0.1492, 0.5000)
Zn (0.6492, 0.8508, 0.5000)
Zn (0.8508, 0.3508, 0.5000)

Calculated values
Size of the total moment ... 0.00 Bohr magnetons per cell
Symmetry ... P4/mbm

=====

Arrangement two

A plane-wave DFT calculation with PBE-GGA was carried out for a relaxed structure of Li2BeZn2.

Cell: 6.7767 6.7767 2.8851 Å, 90.00 90.00 90.00°
Fractional positions:
Li (0.1352, 0.3648, 0.0000)
Li (0.3648, 0.8648, 0.0000)
Li (0.6352, 0.1352, 0.0000)
Li (0.8648, 0.6352, 0.0000)
Be (0.0000, 0.0000, 0.0000)
Be (0.5000, 0.5000, 0.0000)
Zn (0.1617, 0.6617, 0.5000)
Zn (0.3383, 0.1617, 0.5000)
Zn (0.6617, 0.8383, 0.5000)
Zn (0.8383, 0.3383, 0.5000)

Calculated values
Size of the total moment ... 0.00 Bohr magnetons per cell
Symmetry ... P4/mbm

=====

The structure with the greatest stability is arrangement one.

=====

Arrangement one

A plane-wave DFT calculation with PBE-GGA was carried out for a relaxed structure of Li3BeZn.

Cell: 4.4893 4.4893 4.4893 Å, 90.00 90.00 90.00°
Fractional positions:
Li (0.0000, 0.0000, 0.5000)
Li (0.0000, 0.5000, 0.0000)
Li (0.5000, 0.0000, 0.0000)
Be (0.0000, 0.0000, 0.0000)
Zn (0.5000, 0.5000, 0.5000)

Calculated values
Size of the total moment ... 0.00 Bohr magnetons per cell
Symmetry ... Pm-3m

=====

Arrangement two

A plane-wave DFT calculation with PBE-GGA was carried out for a relaxed structure of Li3BeZn.

Cell: 4.6260 4.6260 4.6260 Å, 90.00 90.00 90.00°
Fractional positions:
Li (0.0000, 0.0000, 0.5000)
Li (0.0000, 0.5000, 0.0000)
Li (0.5000, 0.0000, 0.0000)
Be (0.5000, 0.5000, 0.5000)
Zn (0.0000, 0.0000, 0.0000)

Calculated values
Size of the total moment ... 0.00 Bohr magnetons per cell
Symmetry ... Pm-3m

=====

The structure with the greatest stability is arrangement one.

=====

Arrangement one

A plane-wave DFT calculation with PBE-GGA was carried out for a relaxed structure of LiZrBe2.

Cell: 5.4586 5.4586 4.3791 Å, 113.17 113.17 28.71°
Fractional positions:
Li (0.0000, 0.0000, 0.0000)
Zr (0.7946, 0.7946, 0.2976)
Be (0.2267, 0.2267, 0.7318)
Be (0.5551, 0.5551, 0.5551)

Calculated values
Size of the total moment ... 0.00 Bohr magnetons per cell
Symmetry ... Cm

=====

Arrangement two

A plane-wave DFT calculation with PBE-GGA was carried out for a relaxed structure of LiZrBe2.

Cell: 4.2490 4.2490 4.2490 Å, 60.00 60.00 60.00°
Fractional positions:
Li (0.0000, 0.0000, 0.0000)
Zr (0.5000, 0.5000, 0.5000)
Be (0.2500, 0.2500, 0.2500)
Be (0.7500, 0.7500, 0.7500)

Calculated values
Size of the total moment ... 0.00 Bohr magnetons per cell
Symmetry ... Fm-3m

=====

Arrangement three

A plane-wave DFT calculation with PBE-GGA was carried out for a relaxed structure of LiZrBe2.

Cell: 2.9954 2.9954 6.1834 Å, 90.00 90.00 90.00°
Fractional positions:
Li (0.0000, 0.0000, 0.0000)
Zr (0.0000, 0.0000, 0.5000)
Be (0.5000, 0.5000, 0.2143)
Be (0.5000, 0.5000, 0.7857)

Calculated values
Size of the total moment ... 0.00 Bohr magnetons per cell
Symmetry ... P4/mmm

=====

Arrangement four

A plane-wave DFT calculation with PBE-GGA was carried out for a relaxed structure of LiZrBe2.

Cell: 2.7951 2.7951 7.3314 Å, 90.00 90.00 90.00°
Fractional positions:
Li (0.0000, 0.0000, 0.0000)
Zr (0.5000, 0.5000, 0.3630)
Be (0.0000, 0.0000, 0.6261)
Be (0.5000, 0.5000, 0.7593)

Calculated values
Size of the total moment ... 0.00 Bohr magnetons per cell
Symmetry ... P4mm

=====

The structure with the greatest stability is arrangement two.

=====

Arrangement one

A plane-wave DFT calculation with PBE-GGA was carried out for a relaxed structure of LiZrBe2.

Cell: 4.1698 4.1698 4.1698 Å, 119.87 119.87 90.22°
Fractional positions:
Li (0.0000, 0.0000, 0.0000)
Zr (0.7500, 0.2500, 0.5000)
Be (0.2500, 0.7500, 0.5000)
Be (0.5000, 0.5000, 0.0000)

Calculated values
Size of the total moment ... 0.00 Bohr magnetons per cell
Symmetry ... I-4m2

=====

Arrangement two

A plane-wave DFT calculation with PBE-GGA was carried out for a relaxed structure of LiZrBe2.

Cell: 2.7535 3.9067 5.4084 Å, 90.00 104.58 90.00°
Fractional positions:
Li (0.0000, 0.0000, 0.0000)
Zr (0.6925, 0.5000, 0.3812)
Be (0.3068, 0.0000, 0.6131)
Be (0.4141, 0.5000, 0.8294)

Calculated values
Size of the total moment ... 0.00 Bohr magnetons per cell
Symmetry ... Pm

=====

The structure with the greatest stability is arrangement one.

=====

Arrangement one

A plane-wave DFT calculation with PBE-GGA was carried out for a relaxed structure of LiZrBe2.

Cell: 9.2501 9.2501 9.2501 Å, 17.13 17.13 17.13°
Fractional positions:
Li (0.0000, 0.0000, 0.0000)
Zr (0.5000, 0.5000, 0.5000)
Be (0.2538, 0.2538, 0.2538)
Be (0.7462, 0.7462, 0.7462)

Calculated values
Size of the total moment ... 0.00 Bohr magnetons per cell
Symmetry ... R-3m

=====

Arrangement two

A plane-wave DFT calculation with PBE-GGA was carried out for a relaxed structure of LiZrBe2.

Cell: 5.3976 5.3976 5.3976 Å, 103.04 103.04 123.29°
Fractional positions:
Li (0.0000, 0.0000, 0.0000)
Li (0.7500, 0.2500, 0.5000)
Zr (0.2500, 0.7500, 0.5000)
Zr (0.5000, 0.5000, 0.0000)
Be (0.0919, 0.1250, 0.4669)
Be (0.3750, 0.9081, 0.0331)
Be (0.6581, 0.6250, 0.5331)
Be (0.8750, 0.3419, 0.9669)

Calculated values
Size of the total moment ... 0.00 Bohr magnetons per cell
Symmetry ... I-42d

=====

The structure with the greatest stability is arrangement one.

=====

Arrangement one

A plane-wave DFT calculation with PBE-GGA was carried out for a relaxed structure of Lu2BeOs.

Cell: 4.7208 4.7208 4.7208 Å, 60.00 60.00 60.00°
Fractional positions:
Lu (0.2500, 0.2500, 0.2500)
Lu (0.7500, 0.7500, 0.7500)
Be (0.0000, 0.0000, 0.0000)
Os (0.5000, 0.5000, 0.5000)

Calculated values
Size of the total moment ... 0.00 Bohr magnetons per cell
Symmetry ... Fm-3m

=====

Arrangement two

A plane-wave DFT calculation with PBE-GGA was carried out for a relaxed structure of Lu2BeOs.

Cell: 3.3695 3.3695 6.6299 Å, 90.00 90.00 90.00°
Fractional positions:
Lu (0.0000, 0.0000, 0.2434)
Lu (0.0000, 0.0000, 0.7566)
Be (0.5000, 0.5000, 0.5000)
Os (0.5000, 0.5000, 0.0000)

Calculated values
Size of the total moment ... 0.00 Bohr magnetons per cell
Symmetry ... P4/mmm

=====

The structure with the greatest stability is arrangement one.

=====

Arrangement one

A plane-wave DFT calculation with PBE-GGA was carried out for a relaxed structure of Lu2BePd.

Cell: 4.8105 4.8105 4.8105 Å, 60.00 60.00 60.00°
Fractional positions:
Lu (0.2500, 0.2500, 0.2500)
Lu (0.7500, 0.7500, 0.7500)
Be (0.0000, 0.0000, 0.0000)
Pd (0.5000, 0.5000, 0.5000)

Calculated values
Size of the total moment ... 0.00 Bohr magnetons per cell
Symmetry ... Fm-3m

=====

Arrangement two

A plane-wave DFT calculation with PBE-GGA was carried out for a relaxed structure of Lu2BePd.

Cell: 3.3962 3.3962 6.7095 Å, 90.00 90.00 90.00°
Fractional positions:
Lu (0.0000, 0.0000, 0.2428)
Lu (0.0000, 0.0000, 0.7572)
Be (0.5000, 0.5000, 0.0000)
Pd (0.5000, 0.5000, 0.5000)

Calculated values
Size of the total moment ... 0.00 Bohr magnetons per cell
Symmetry ... P4/mmm

=====

The structure with the greatest stability is arrangement two.

=====

Arrangement one

A plane-wave DFT calculation with PBE-GGA was carried out for a relaxed structure of LuBePd2.

Cell: 3.1484 3.1484 6.3714 Å, 90.00 90.00 90.00°
Fractional positions:
Lu (0.0000, 0.0000, 0.0000)
Be (0.0000, 0.0000, 0.5000)
Pd (0.5000, 0.5000, 0.2902)
Pd (0.5000, 0.5000, 0.7098)

Calculated values
Size of the total moment ... 0.00 Bohr magnetons per cell
Symmetry ... P4/mmm

=====

Arrangement two

A plane-wave DFT calculation with PBE-GGA was carried out for a relaxed structure of LuBePd2.

Cell: 4.5117 4.5117 4.5117 Å, 60.00 60.00 60.00°
Fractional positions:
Lu (0.0000, 0.0000, 0.0000)
Be (0.5000, 0.5000, 0.5000)
Pd (0.2500, 0.2500, 0.2500)
Pd (0.7500, 0.7500, 0.7500)

Calculated values
Size of the total moment ... 0.00 Bohr magnetons per cell
Symmetry ... Fm-3m

=====

The structure with the greatest stability is arrangement one.

=====

Arrangement one

A plane-wave DFT calculation with PBE-GGA was carried out for a relaxed structure of Lu2BePt.

Cell: 4.7980 4.7980 4.7980 Å, 60.00 60.00 60.00°
Fractional positions:
Lu (0.2500, 0.2500, 0.2500)
Lu (0.7500, 0.7500, 0.7500)
Be (0.0000, 0.0000, 0.0000)
Pt (0.5000, 0.5000, 0.5000)

Calculated values
Size of the total moment ... 0.00 Bohr magnetons per cell
Symmetry ... Fm-3m

=====

Arrangement two

A plane-wave DFT calculation with PBE-GGA was carried out for a relaxed structure of Lu2BePt.

Cell: 3.4132 3.4132 6.6150 Å, 90.00 90.00 90.00°
Fractional positions:
Lu (0.0000, 0.0000, 0.2462)
Lu (0.0000, 0.0000, 0.7538)
Be (0.5000, 0.5000, 0.0000)
Pt (0.5000, 0.5000, 0.5000)

Calculated values
Size of the total moment ... 0.00 Bohr magnetons per cell
Symmetry ... P4/mmm

=====

The structure with the greatest stability is arrangement two.

=====

Arrangement one

A plane-wave DFT calculation with PBE-GGA was carried out for a relaxed structure of LuTiBe2.

Cell: 3.1333 3.1333 6.2126 Å, 90.00 90.00 90.00°
Fractional positions:
Lu (0.0000, 0.0000, 0.0000)
Ti (0.0000, 0.0000, 0.5000)
Be (0.5000, 0.5000, 0.2983)
Be (0.5000, 0.5000, 0.7017)

Calculated values
Size of the total moment ... 0.00 Bohr magnetons per cell
Symmetry ... P4/mmm

=====

Arrangement two

A plane-wave DFT calculation with PBE-GGA was carried out for a relaxed structure of LuTiBe2.

Cell: 4.4345 4.4345 4.4345 Å, 60.00 60.00 60.00°
Fractional positions:
Lu (0.0000, 0.0000, 0.0000)
Ti (0.5000, 0.5000, 0.5000)
Be (0.2500, 0.2500, 0.2500)
Be (0.7500, 0.7500, 0.7500)

Calculated values
Size of the total moment ... 0.00 Bohr magnetons per cell
Symmetry ... Fm-3m

=====

The structure with the greatest stability is arrangement one.

=====

Arrangement one

A plane-wave DFT calculation with PBE-GGA was carried out for a relaxed structure of TmLu2Be.

Cell: 11.3318 11.3318 11.3318 Å, 17.02 17.02 17.02°
Fractional positions:
Tm (0.0000, 0.0000, 0.0000)
Lu (0.4156, 0.4156, 0.4156)
Lu (0.5844, 0.5844, 0.5844)
Be (0.5000, 0.5000, 0.5000)

Calculated values
Size of the total moment ... 0.00 Bohr magnetons per cell
Symmetry ... R-3m

=====

Arrangement two

A plane-wave DFT calculation with PBE-GGA was carried out for a relaxed structure of TmLu2Be.

Cell: 3.3859 3.3859 8.4263 Å, 90.00 90.00 90.00°
Fractional positions:
Tm (0.0000, 0.0000, 0.0000)
Lu (0.5000, 0.5000, 0.3073)
Lu (0.5000, 0.5000, 0.6927)
Be (0.0000, 0.0000, 0.5000)

Calculated values
Size of the total moment ... 0.00 Bohr magnetons per cell
Symmetry ... P4/mmm

=====

The structure with the greatest stability is arrangement two.

=====

Arrangement one

A plane-wave DFT calculation with PBE-GGA was carried out for a relaxed structure of MgBe2.

Cell: 4.2536 3.6813 5.0390 Å, 90.00 93.83 90.00°
Fractional positions:
Mg (0.0000, 0.0000, 0.0000)
Mg (0.4743, 0.5000, 0.7748)
Be (0.1331, 0.0000, 0.4834)
Be (0.3635, 0.5000, 0.2910)
Be (0.6250, 0.0000, 0.4229)
Be (0.8726, 0.5000, 0.3624)

Calculated values
Size of the total moment ... 0.00 Bohr magnetons per cell
Symmetry ... Pm

=====

Arrangement two

A plane-wave DFT calculation with PBE-GGA was carried out for a relaxed structure of MgBe2.

Cell: 6.5392 6.5392 6.5392 Å, 146.87 146.87 47.55°
Fractional positions:
Mg (0.3750, 0.6250, 0.7500)
Mg (0.6250, 0.3750, 0.2500)
Be (0.0364, 0.7864, 0.2500)
Be (0.2136, 0.9636, 0.2500)
Be (0.7864, 0.0364, 0.7500)
Be (0.9636, 0.2136, 0.7500)

Calculated values
Size of the total moment ... 0.00 Bohr magnetons per cell
Symmetry ... I4_1/amd

=====

The structure with the greatest stability is arrangement one.